VASP calculation (PBE) on a relaxed structure of TbHfBe.

Cell and atoms, written as POSCAR:
```
TbHfBe
1.0
0.0000 3.2907 3.2907
3.2907 0.0000 3.2907
3.2907 3.2907 0.0000
Tb Hf Be
1 1 1
direct
0.0000 0.0000 0.0000
0.7500 0.7500 0.7500
0.5000 0.5000 0.5000
```

Calculated values
Total DFT energy (no corrections) (eV/cell): -14.829

***

VASP calculation (PBE) on a relaxed structure of HfBe2Tc.

Cell and atoms, written as POSCAR:
```
HfBe2Tc
1.0
0.0000 3.0218 3.0218
3.0218 0.0000 3.0218
3.0218 3.0218 0.0000
Hf Be Tc
1 2 1
direct
0.0000 0.0000 0.0000
0.2500 0.2500 0.2500
0.5000 0.5000 0.5000
0.7500 0.7500 0.7500
```

Calculated values
Total DFT energy (no corrections) (eV/cell): -27.169

***

Question: The lowest total DFT energy (no corrections) belongs to which entry?
Answer: HfBe2Tc

***

Question: total DFT energy (no corrections) of number 2 (HfBe2Tc)?
Answer: -27.169 eV/cell

***

Please write out number 2 again, unchanged.
VASP calculation (PBE) on a relaxed structure of HfBe2Tc.

Cell and atoms, written as POSCAR:
```
HfBe2Tc
1.0
0.0000 3.0218 3.0218
3.0218 0.0000 3.0218
3.0218 3.0218 0.0000
Hf Be Tc
1 2 1
direct
0.0000 0.0000 0.0000
0.2500 0.2500 0.2500
0.5000 0.5000 0.5000
0.7500 0.7500 0.7500
```

Calculated values
Total DFT energy (no corrections) (eV/cell): -27.169

***

Question: Among the records above, which one has the lowest total DFT energy (no corrections)?
Answer: HfBe2Tc